Record 1
Hf2AlBi2: optimized geometry, PBE.

Output
For the energy above the lowest structure with this stoichiometry, the calculation gives 219.6 meV/atom. The density is 10.58 g/cm³. The total energy comes out at -6.046 eV per atom. The space group is P4/mbm, No. 127.

The structure in POSCAR format:
```
Hf2AlBi2
1.0
8.121 0.000 0.000
0.000 8.121 0.000
0.000 0.000 3.817
Hf Bi Al
4 4 2
Cartesian
1.108 5.168 1.908
5.168 7.013 1.908
7.013 2.953 1.908
2.953 1.108 1.908
2.790 6.850 0.000
6.850 5.331 0.000
5.331 1.271 0.000
1.271 2.790 0.000
0.000 0.000 0.000
4.060 4.060 0.000
```

***

Record 2
AcYGa2: optimized geometry, PBE.

Output
The density is 7.18 g/cm³. The total energy comes out at -4.674 eV per atom. The space group is P4/mmm, No. 123.

The structure in POSCAR format:
```
AcYGa2
1.0
-2.186 -2.576 1.650
1.850 -2.729 -1.808
4.829 -0.475 5.658
Y Ac Ga
1 1 2
Cartesian
-0.168 -2.652 -0.079
2.246 -2.890 2.750
3.789 -0.373 4.440
1.040 -0.102 1.218
```

***

Record 3
Sc3InSi: optimized geometry, PBE.

Output
For the energy above the lowest structure with this stoichiometry, the calculation gives 831.6 meV/atom. The density is 3.23 g/cm³. The total energy comes out at -4.897 eV per atom. The space group is Pm-3m, No. 221. Its uncorrected formation energy is 0.5341 eV per atom.

The structure in POSCAR format:
```
Sc3InSi
1.0
-3.702 -3.516 -1.111
2.247 -3.399 3.271
-2.923 1.840 3.921
Sc Si In
3 1 1
Cartesian
1.123 -1.700 1.635
-1.462 0.920 1.960
-1.851 -1.758 -0.555
-2.189 -2.537 3.040
0.000 0.000 0.000
```

***

Record 4
In4ReHg: optimized geometry, PBE.

Output
The density is 10.35 g/cm³. The total energy comes out at -3.075 eV per atom. The space group is F-43m, No. 216.

The structure in POSCAR format:
```
In4ReHg
1.0
-3.810 -4.236 -0.907
-2.659 -2.495 4.471
-5.621 0.935 0.901
In Re Hg
4 1 1
Cartesian
-6.437 -4.286 1.224
-7.339 -1.711 2.125
-5.864 -3.419 3.903
-4.539 -2.176 1.676
-9.067 -4.347 3.348
0.000 0.000 0.000
```

***

Record 5
Tb4Te5Ir: optimized geometry, PBE.

Output
The density is 7.42 g/cm³. The total energy comes out at -5.332 eV per atom. The space group is C2/m, No. 12. Its uncorrected formation energy is -1.0234 eV per atom.

The structure in POSCAR format:
```
Tb4Te5Ir
1.0
-3.786 -1.049 1.582
-0.873 -5.946 -6.033
6.078 -4.127 6.139
Tb Te Ir
4 5 1
Cartesian
2.056 -8.618 -0.796
1.621 -9.733 3.093
-0.637 -2.505 2.483
-0.202 -1.390 -1.406
0.322 -7.526 1.448
0.718 -4.641 4.310
0.700 -6.481 -2.623
-2.329 -3.498 -2.226
1.097 -3.597 0.239
-1.893 -0.525 0.791
```

***

Record 6
Fe3Co5: optimized geometry, PBE.

Output
The density is 8.38 g/cm³. The total energy comes out at -7.632 eV per atom. The space group is Im-3m, No. 229.

The structure in POSCAR format:
```
Fe3Co5
1.0
4.917 0.000 0.000
-1.639 4.636 0.000
-1.639 -2.318 4.015
Co Fe
5 3
Cartesian
0.000 0.000 0.000
-0.820 2.318 0.000
2.459 0.000 0.000
-0.820 -1.159 2.008
0.820 1.159 2.008
1.639 2.318 0.000
-1.639 1.159 2.008
1.639 -1.159 2.008
```

***

Record 7
SiGe2AsP: optimized geometry, PBE.

Output
The density is 4.47 g/cm³. The total energy comes out at -4.246 eV per atom. The space group is P4/mmm, No. 123. Its uncorrected formation energy is 0.6978 eV per atom.

The structure in POSCAR format:
```
SiGe2AsP
1.0
4.834 0.000 0.000
0.000 4.439 0.000
0.000 0.000 4.834
P As Si Ge
1 1 1 2
Cartesian
0.000 2.220 0.000
2.417 2.220 2.417
0.000 0.000 0.000
0.000 0.000 2.417
2.417 0.000 0.000
```

***

Record 8
Tl2InAuBr6: optimized geometry, PBE.

Output
The density is 5.65 g/cm³. The total energy comes out at -2.761 eV per atom. The space group is P1, No. 1. Its uncorrected formation energy is -0.6825 eV per atom.

The structure in POSCAR format:
```
Tl2InAuBr6
1.0
-4.525 -6.090 -0.951
0.816 -4.521 -6.823
3.219 -7.333 0.033
Tl In Au Br
2 1 1 6
Cartesian
-1.128 -8.036 -4.366
2.587 -7.225 -0.269
-0.996 -3.667 -2.443
0.482 -13.069 -6.308
-1.802 -6.083 -1.700
0.971 -7.591 -6.958
1.072 -4.527 -3.827
0.377 -11.273 -4.668
-0.463 -10.181 -1.287
2.279 -8.499 -3.298
```